A plane-wave DFT calculation with PBE was carried out for an optimized crystal structure of Ac2PrPb2.

Energy relative to the elements, kcal/mol of atoms: -11.77
Distance to the lowest polymorph of the same formula, eV/f.u.: 0.00
Space group: P4/mbm, No. 127
Total DFT energy (no corrections), eV per atom: -4.593

```
Ac2PrPb2
1.0
8.707 0.000 0.000
0.000 8.707 0.000
0.000 0.000 4.895
Ac Pr Pb
4 2 4
direct
0.169 0.331 0.000
0.331 0.831 0.000
0.669 0.169 0.000
0.831 0.669 0.000
0.000 0.000 0.500
0.500 0.500 0.500
0.134 0.634 0.500
0.366 0.134 0.500
0.634 0.866 0.500
0.866 0.366 0.500
```